1.
CeSmSbN: optimized geometry, PBE-GGA.

## Properties
The value obtained for the total DFT energy (no corrections) is -7.06 eV per atom. The value obtained for the density of states at the Fermi level is 9.4 states/eV/cell. As for the raw formation energy: -1287 meV per atom.

Lattice parameters (Å, degrees): 4.606 4.606 9.135 90.00 90.00 90.00
Space group P4/nmm (No. 129, origin choice 2)
Symmetry-distinct sites (fractional):
Ce (0.250, 0.750, 0.000) (multiplicity 2)
Sm (0.250, 0.250, 0.335) (multiplicity 2)
Sb (0.250, 0.250, 0.696) (multiplicity 2)
N (0.250, 0.250, 0.084) (multiplicity 2)

---

2.
HoPa2As2N2: optimized geometry, PBE-GGA.

## Properties
The value obtained for the total DFT energy (no corrections) is -8.56 eV per atom. The value obtained for the density of states at the Fermi level is 11.0 states/eV/cell. As for the raw formation energy: -1491 meV per atom.

Lattice parameters (Å, degrees): 12.065 3.897 6.944 90.00 122.82 90.00
Space group C2/m (No. 12)
Symmetry-distinct sites (fractional):
Ho (0.000, 0.000, 0.000) (multiplicity 2)
Pa (0.193, 0.000, 0.743) (multiplicity 4)
As (0.071, 0.500, 0.348) (multiplicity 4)
N (0.214, 0.000, 0.088) (multiplicity 4)

---

3.
Sc3MnB: optimized geometry, PBE-GGA.

## Properties
The value obtained for the total DFT energy (no corrections) is -6.09 eV per atom. For the energy of formation from the pure elements, the calculation gives 0.882 eV per atom. The value obtained for the density of states at the Fermi level is 6.8 states/eV/cell. As for the excess energy over the best structure of this formula in the dataset: 0.476 eV per atom.

Lattice parameters (Å, degrees): 4.669 4.669 4.669 90.00 90.00 90.00
Space group Pm-3m (No. 221)
Symmetry-distinct sites (fractional):
Sc (0.000, 0.000, 0.500) (multiplicity 3)
Mn (0.000, 0.000, 0.000) (multiplicity 1)
B (0.500, 0.500, 0.500) (multiplicity 1)

---

4.
Au2Se2I: optimized geometry, PBE-GGA.

## Properties
The value obtained for the total DFT energy (no corrections) is -2.84 eV per atom. The value obtained for the density of states at the Fermi level is 8.5 states/eV/cell. As for the excess energy over the best structure of this formula in the dataset: 0.000 eV per atom. As for the raw formation energy: 178 meV per atom.

Lattice parameters (Å, degrees): 7.584 7.584 5.172 90.00 90.00 90.00
Space group P4/mbm (No. 127)
Symmetry-distinct sites (fractional):
Au (0.134, 0.366, 0.000) (multiplicity 4)
Se (0.110, 0.390, 0.500) (multiplicity 4)
I (0.000, 0.000, 0.000) (multiplicity 2)

---

5.
La2TlCdO: optimized geometry, PBE-GGA.

## Properties
The value obtained for the total DFT energy (no corrections) is -4.80 eV per atom. The value obtained for the density of states at the Fermi level is 2.2 states/eV/cell. As for the raw formation energy: -1181 meV per atom.

Lattice parameters (Å, degrees): 4.952 4.952 5.144 90.00 90.00 90.00
Space group P4/mmm (No. 123)
Symmetry-distinct sites (fractional):
La (0.000, 0.500, 0.000) (multiplicity 2)
Tl (0.000, 0.000, 0.500) (multiplicity 1)
Cd (0.500, 0.500, 0.500) (multiplicity 1)
O (0.500, 0.500, 0.000) (multiplicity 1)

---

Repeat the fourth record exactly.
Au2Se2I: optimized geometry, PBE-GGA.

## Properties
The value obtained for the total DFT energy (no corrections) is -2.84 eV per atom. The value obtained for the density of states at the Fermi level is 8.5 states/eV/cell. As for the excess energy over the best structure of this formula in the dataset: 0.000 eV per atom. As for the raw formation energy: 178 meV per atom.

Lattice parameters (Å, degrees): 7.584 7.584 5.172 90.00 90.00 90.00
Space group P4/mbm (No. 127)
Symmetry-distinct sites (fractional):
Au (0.134, 0.366, 0.000) (multiplicity 4)
Se (0.110, 0.390, 0.500) (multiplicity 4)
I (0.000, 0.000, 0.000) (multiplicity 2)

---

Repeat the fifth record exactly.
La2TlCdO: optimized geometry, PBE-GGA.

## Properties
The value obtained for the total DFT energy (no corrections) is -4.80 eV per atom. The value obtained for the density of states at the Fermi level is 2.2 states/eV/cell. As for the raw formation energy: -1181 meV per atom.

Lattice parameters (Å, degrees): 4.952 4.952 5.144 90.00 90.00 90.00
Space group P4/mmm (No. 123)
Symmetry-distinct sites (fractional):
La (0.000, 0.500, 0.000) (multiplicity 2)
Tl (0.000, 0.000, 0.500) (multiplicity 1)
Cd (0.500, 0.500, 0.500) (multiplicity 1)
O (0.500, 0.500, 0.000) (multiplicity 1)